Record 1
This record from the Alexandria database describes crystalline CaMnPS2 at its relaxed geometry. The functional is PBE-GGA.

Offset from the most stable computed form: 0.000 eV/atom
SG: P4/mmm (123)
Uncorrected formation energy: -0.58 eV/atom

Lattice parameters (Å, degrees): 4.779 4.779 4.339 90.00 90.00 90.00
Positions (direct):
Ca 0.000 0.000 0.000
Mn 0.500 0.500 0.500
P 0.500 0.500 0.000
S 0.000 0.500 0.500
S 0.500 0.000 0.500

Record 2
This record from the Alexandria database describes crystalline Na3Zr2CuTe6 at its relaxed geometry. The functional is PBE-GGA.

SG: C2/m (12)
Uncorrected formation energy: -0.74 eV/atom

Lattice parameters (Å, degrees): 7.285 7.285 7.876 98.97 98.97 119.82
Positions (direct):
Na 0.000 0.000 0.000
Na 0.329 0.671 0.000
Na 0.671 0.329 0.000
Zr 0.166 0.834 0.500
Zr 0.834 0.166 0.500
Cu 0.500 0.500 0.500
Te 0.101 0.429 0.286
Te 0.243 0.243 0.719
Te 0.429 0.101 0.286
Te 0.571 0.899 0.714
Te 0.757 0.757 0.281
Te 0.899 0.571 0.714

Record 3
This record from the Alexandria database describes crystalline Tl2GaBi at its relaxed geometry. The functional is PBE-GGA.

ΔE_f: 0.056 eV/atom
Offset from the most stable computed form: 0.049 eV/atom
SG: Cm (8)

Lattice parameters (Å, degrees): 8.999 5.184 6.265 90.00 118.98 90.00
Positions (direct):
Tl 0.000 0.000 0.000
Tl 0.223 0.000 0.668
Tl 0.500 0.500 0.000
Tl 0.723 0.500 0.668
Ga 0.424 0.000 0.271
Ga 0.924 0.500 0.271
Bi 0.288 0.500 0.361
Bi 0.788 0.000 0.361

Record 4
This record from the Alexandria database describes crystalline DyThFe at its relaxed geometry. The functional is PBE-GGA.

ΔE_f: 0.164 eV/atom
Offset from the most stable computed form: 0.084 eV/atom
SG: Fdd2 (43)

Lattice parameters (Å, degrees): 9.619 7.219 11.458 56.68 38.84 84.49
Positions (direct):
Dy 0.171 0.829 0.347
Dy 0.597 0.903 0.421
Dy 0.829 0.171 0.653
Dy 0.903 0.597 0.079
Th 0.176 0.302 0.644
Th 0.302 0.176 0.879
Th 0.371 0.606 0.948
Th 0.606 0.371 0.074
Fe 0.065 0.442 0.834
Fe 0.416 0.592 0.185
Fe 0.442 0.065 0.658
Fe 0.592 0.416 0.808

Record 5
This record from the Alexandria database describes crystalline Pm12Rh3C5 at its relaxed geometry. The functional is PBE-GGA.

ΔE_f: -0.154 eV/atom
SG: Ia-3d (230)

Lattice parameters (Å, degrees): 13.720 13.720 13.720 109.47 109.47 109.47
Positions (direct):
Pm 0.029 0.207 0.124
Pm 0.029 0.322 0.905
Pm 0.083 0.707 0.678
Pm 0.083 0.876 0.405
Pm 0.095 0.624 0.417
Pm 0.095 0.971 0.678
Pm 0.124 0.029 0.207
Pm 0.124 0.595 0.917
Pm 0.178 0.207 0.583
Pm 0.178 0.471 0.595
Pm 0.207 0.124 0.029
Pm 0.207 0.583 0.178
Pm 0.293 0.322 0.917
Pm 0.293 0.471 0.376
Pm 0.322 0.905 0.029
Pm 0.322 0.917 0.293
Pm 0.376 0.293 0.471
Pm 0.376 0.583 0.905
Pm 0.405 0.083 0.876
Pm 0.405 0.822 0.529
Pm 0.417 0.095 0.624
Pm 0.417 0.822 0.793
Pm 0.471 0.376 0.293
Pm 0.471 0.595 0.178
Pm 0.529 0.405 0.822
Pm 0.529 0.624 0.707
Pm 0.583 0.178 0.207
Pm 0.583 0.905 0.376
Pm 0.595 0.178 0.471
Pm 0.595 0.917 0.124
Pm 0.624 0.417 0.095
Pm 0.624 0.707 0.529
Pm 0.678 0.083 0.707
Pm 0.678 0.095 0.971
Pm 0.707 0.529 0.624
Pm 0.707 0.678 0.083
Pm 0.793 0.417 0.822
Pm 0.793 0.876 0.971
Pm 0.822 0.529 0.405
Pm 0.822 0.793 0.417
Pm 0.876 0.405 0.083
Pm 0.876 0.971 0.793
Pm 0.905 0.029 0.322
Pm 0.905 0.376 0.583
Pm 0.917 0.124 0.595
Pm 0.917 0.293 0.322
Pm 0.971 0.678 0.095
Pm 0.971 0.793 0.876
Rh 0.125 0.250 0.375
Rh 0.125 0.375 0.750
Rh 0.250 0.375 0.125
Rh 0.250 0.875 0.625
Rh 0.375 0.125 0.250
Rh 0.375 0.750 0.125
Rh 0.625 0.250 0.875
Rh 0.625 0.875 0.750
Rh 0.750 0.125 0.375
Rh 0.750 0.625 0.875
Rh 0.875 0.625 0.250
Rh 0.875 0.750 0.625
C 0.000 0.000 0.000
C 0.000 0.000 0.500
C 0.000 0.500 0.000
C 0.000 0.500 0.500
C 0.125 0.750 0.875
C 0.125 0.875 0.250
C 0.250 0.125 0.875
C 0.250 0.625 0.375
C 0.375 0.250 0.625
C 0.375 0.625 0.750
C 0.500 0.000 0.000
C 0.500 0.000 0.500
C 0.500 0.500 0.000
C 0.500 0.500 0.500
C 0.625 0.375 0.250
C 0.625 0.750 0.375
C 0.750 0.375 0.625
C 0.750 0.875 0.125
C 0.875 0.125 0.750
C 0.875 0.250 0.125

Record 6
This record from the Alexandria database describes crystalline Pr6PPt2Br3 at its relaxed geometry. The functional is PBE-GGA.

SG: C2/m (12)
Uncorrected formation energy: -1.28 eV/atom

Lattice parameters (Å, degrees): 7.427 7.427 7.895 99.02 99.02 119.90
Positions (direct):
Pr 0.092 0.431 0.796
Pr 0.228 0.228 0.203
Pr 0.431 0.092 0.796
Pr 0.569 0.908 0.204
Pr 0.772 0.772 0.797
Pr 0.908 0.569 0.204
P 0.500 0.500 0.000
Pt 0.167 0.833 0.000
Pt 0.833 0.167 0.000
Br 0.000 0.000 0.500
Br 0.340 0.660 0.500
Br 0.660 0.340 0.500

| no. | spin magnetization (μB per formula unit) | final energy (eV per atom) |
| --- | --- | --- |
| 1 | 2.5 | -5.543 |
| 2 | 0.0 | -4.407 |
| 3 | 0.0 | -2.854 |
| 4 | 0.0 | -6.664 |
| 5 | 0.0 | -6.413 |
| 6 | 0.0 | -5.541 |